Below is AgTeRh after structural relaxation, with properties calculated at the GGA-PBEsol level.

Cell lengths 3.435, 3.435, 5.931 Å; angles 90.00, 90.00, 120.00 degrees
Sites, in units of the cell vectors:
Ag: 0.000 0.000 0.000
Te: 0.667 0.333 0.418
Rh: 0.333 0.667 0.681



Below is AgTeRh after structural relaxation, with properties calculated at the GGA-PBEsol level.

Cell lengths 4.464, 4.464, 3.186 Å; angles 90.00, 90.00, 120.00 degrees
Sites, in units of the cell vectors:
Ag: 0.000 0.000 0.000
Te: 0.333 0.667 0.500
Rh: 0.667 0.333 0.500



Below is AgTeRh after structural relaxation, with properties calculated at the GGA-PBEsol level.

Cell lengths 6.255, 6.255, 6.255 Å; angles 90.00, 90.00, 90.00 degrees
Sites, in units of the cell vectors:
Ag: 0.000 0.000 0.000
Ag: 0.000 0.500 0.500
Ag: 0.500 0.000 0.500
Ag: 0.500 0.500 0.000
Te: 0.250 0.250 0.750
Te: 0.250 0.750 0.250
Te: 0.750 0.250 0.250
Te: 0.750 0.750 0.750
Rh: 0.250 0.250 0.250
Rh: 0.250 0.750 0.750
Rh: 0.750 0.250 0.750
Rh: 0.750 0.750 0.250



Computed values of E_form (uncorrected) (unit: meV/atom) for the preceding records, in sequence: 85; 111; 481.
Computed values of M_tot (unit: μB/f.u.) for the preceding records, in sequence: 0.00; 0.00; 0.00.
Computed values of density of states at the Fermi level (unit: states/eV/cell) for the preceding records, in sequence: 0.54; 2.07; 10.73.